The following is a PBE calculation of a geometry-optimized AgPbSe4 structure, from Alexandria via LeMat-Bulk.

**Space group**: No. 216
**Total magnetic moment**: 0.0 Bohr magnetons per cell
**Formation energy without anion corrections**: 363 meV per atom
**Fermi-level density of states**: 0.43 states/eV/atom

Cell and atoms, written as CIF:
```
data_AgPbSe4
_cell_length_a 5.853
_cell_length_b 5.853
_cell_length_c 5.853
_cell_angle_alpha 60.00
_cell_angle_beta 60.00
_cell_angle_gamma 60.00
_space_group_name_H-M_alt 'P 1'
_space_group_IT_number 1
_space_group_name_Hall 'P 1'
loop_
_atom_site_label
_atom_site_fract_x
_atom_site_fract_y
_atom_site_fract_z
Ag1 0.000 0.000 0.000
Pb1 0.750 0.750 0.750
Se1 0.374 0.374 0.374
Se2 0.374 0.374 0.877
Se3 0.374 0.877 0.374
Se4 0.877 0.374 0.374
```


The following is a PBE calculation of a geometry-optimized AgPb2Se2 structure, from Alexandria via LeMat-Bulk.

**Space group**: No. 127
**Total magnetic moment**: 0.0 Bohr magnetons per cell
**ΔE to the lowest computed polymorph**: 0 meV per atom
**Formation energy without anion corrections**: -163 meV per atom
**Fermi-level density of states**: 0.57 states/eV/atom

Cell and atoms, written as CIF:
```
data_AgPb2Se2
_cell_length_a 7.922
_cell_length_b 7.922
_cell_length_c 4.301
_cell_angle_alpha 90.00
_cell_angle_beta 90.00
_cell_angle_gamma 90.00
_space_group_name_H-M_alt 'P 1'
_space_group_IT_number 1
_space_group_name_Hall 'P 1'
loop_
_atom_site_label
_atom_site_fract_x
_atom_site_fract_y
_atom_site_fract_z
Ag1 0.000 0.000 0.000
Ag2 0.500 0.500 0.000
Pb1 0.155 0.345 0.500
Pb2 0.345 0.845 0.500
Pb3 0.655 0.155 0.500
Pb4 0.845 0.655 0.500
Se1 0.168 0.668 0.000
Se2 0.332 0.168 0.000
Se3 0.668 0.832 0.000
Se4 0.832 0.332 0.000
```


The following is a PBE calculation of a geometry-optimized AgPb2Se structure, from Alexandria via LeMat-Bulk.

**Space group**: No. 123
**Total magnetic moment**: 0.0 Bohr magnetons per cell
**Formation energy without anion corrections**: -156 meV per atom
**Fermi-level density of states**: 0.27 states/eV/atom

Cell and atoms, written as CIF:
```
data_AgPb2Se
_cell_length_a 4.303
_cell_length_b 4.303
_cell_length_c 6.039
_cell_angle_alpha 90.00
_cell_angle_beta 90.00
_cell_angle_gamma 90.00
_space_group_name_H-M_alt 'P 1'
_space_group_IT_number 1
_space_group_name_Hall 'P 1'
loop_
_atom_site_label
_atom_site_fract_x
_atom_site_fract_y
_atom_site_fract_z
Ag1 0.000 0.000 0.000
Pb1 0.000 0.000 0.500
Pb2 0.500 0.500 0.000
Se1 0.500 0.500 0.500
```


The following is a PBE calculation of a geometry-optimized AgPb2Se structure, from Alexandria via LeMat-Bulk.

**Space group**: No. 122
**Total magnetic moment**: 0.0 Bohr magnetons per cell
**Formation energy without anion corrections**: 52 meV per atom
**Fermi-level density of states**: 0.36 states/eV/atom

Cell and atoms, written as CIF:
```
data_AgPb2Se
_cell_length_a 7.777
_cell_length_b 7.777
_cell_length_c 7.777
_cell_angle_alpha 127.43
_cell_angle_beta 127.43
_cell_angle_gamma 77.56
_space_group_name_H-M_alt 'P 1'
_space_group_IT_number 1
_space_group_name_Hall 'P 1'
loop_
_atom_site_label
_atom_site_fract_x
_atom_site_fract_y
_atom_site_fract_z
Ag1 0.000 0.000 0.000
Ag2 0.750 0.250 0.500
Pb1 0.119 0.625 0.994
Pb2 0.375 0.369 0.494
Pb3 0.631 0.125 0.006
Pb4 0.875 0.881 0.506
Se1 0.250 0.750 0.500
Se2 0.500 0.500 0.000
```


The following is a PBE calculation of a geometry-optimized AgPb2Se structure, from Alexandria via LeMat-Bulk.

**Space group**: No. 160
**Total magnetic moment**: 0.0 Bohr magnetons per cell
**Formation energy without anion corrections**: -55 meV per atom
**Fermi-level density of states**: 0.52 states/eV/atom

Cell and atoms, written as CIF:
```
data_AgPb2Se
_cell_length_a 8.338
_cell_length_b 8.338
_cell_length_c 8.338
_cell_angle_alpha 27.71
_cell_angle_beta 27.71
_cell_angle_gamma 27.71
_space_group_name_H-M_alt 'P 1'
_space_group_IT_number 1
_space_group_name_Hall 'P 1'
loop_
_atom_site_label
_atom_site_fract_x
_atom_site_fract_y
_atom_site_fract_z
Ag1 0.000 0.000 0.000
Pb1 0.255 0.255 0.255
Pb2 0.478 0.478 0.478
Se1 0.734 0.734 0.734
```


The following is a PBE calculation of a geometry-optimized AgPb2Se structure, from Alexandria via LeMat-Bulk.

**Space group**: No. 123
**Total magnetic moment**: 0.0 Bohr magnetons per cell
**Formation energy without anion corrections**: -46 meV per atom
**Fermi-level density of states**: 0.34 states/eV/atom

Cell and atoms, written as CIF:
```
data_AgPb2Se
_cell_length_a 5.258
_cell_length_b 5.258
_cell_length_c 3.738
_cell_angle_alpha 90.00
_cell_angle_beta 90.00
_cell_angle_gamma 90.00
_space_group_name_H-M_alt 'P 1'
_space_group_IT_number 1
_space_group_name_Hall 'P 1'
loop_
_atom_site_label
_atom_site_fract_x
_atom_site_fract_y
_atom_site_fract_z
Ag1 0.000 0.000 0.000
Pb1 0.000 0.500 0.500
Pb2 0.500 0.000 0.500
Se1 0.500 0.500 0.000
```


The following is a PBE calculation of a geometry-optimized Ag2Pb2Se structure, from Alexandria via LeMat-Bulk.

**Space group**: No. 127
**Total magnetic moment**: 0.0 Bohr magnetons per cell
**ΔE to the lowest computed polymorph**: 0 meV per atom
**Formation energy without anion corrections**: 6 meV per atom
**Fermi-level density of states**: 0.25 states/eV/atom

Cell and atoms, written as CIF:
```
data_Ag2Pb2Se
_cell_length_a 7.414
_cell_length_b 7.414
_cell_length_c 4.512
_cell_angle_alpha 90.00
_cell_angle_beta 90.00
_cell_angle_gamma 90.00
_space_group_name_H-M_alt 'P 1'
_space_group_IT_number 1
_space_group_name_Hall 'P 1'
loop_
_atom_site_label
_atom_site_fract_x
_atom_site_fract_y
_atom_site_fract_z
Ag1 0.133 0.367 0.000
Ag2 0.367 0.867 0.000
Ag3 0.633 0.133 0.000
Ag4 0.867 0.633 0.000
Pb1 0.166 0.666 0.500
Pb2 0.334 0.166 0.500
Pb3 0.666 0.834 0.500
Pb4 0.834 0.334 0.500
Se1 0.000 0.000 0.000
Se2 0.500 0.500 0.000
```


The following is a PBE calculation of a geometry-optimized AgPb2Se structure, from Alexandria via LeMat-Bulk.

**Space group**: No. 44
**Total magnetic moment**: 0.0 Bohr magnetons per cell
**Formation energy without anion corrections**: -22 meV per atom
**Fermi-level density of states**: 0.51 states/eV/atom

Cell and atoms, written as CIF:
```
data_AgPb2Se
_cell_length_a 6.155
_cell_length_b 6.155
_cell_length_c 6.155
_cell_angle_alpha 145.15
_cell_angle_beta 128.76
_cell_angle_gamma 63.47
_space_group_name_H-M_alt 'P 1'
_space_group_IT_number 1
_space_group_name_Hall 'P 1'
loop_
_atom_site_label
_atom_site_fract_x
_atom_site_fract_y
_atom_site_fract_z
Ag1 0.000 0.000 0.000
Pb1 0.252 0.752 0.500
Pb2 0.540 0.540 0.000
Se1 0.790 0.290 0.500
```


The following is a PBE calculation of a geometry-optimized Ag2Pb2Se structure, from Alexandria via LeMat-Bulk.

**Space group**: No. 127
**Total magnetic moment**: 0.0 Bohr magnetons per cell
**ΔE to the lowest computed polymorph**: 103 meV per atom
**Formation energy without anion corrections**: 108 meV per atom
**Fermi-level density of states**: 0.37 states/eV/atom

Cell and atoms, written as CIF:
```
data_Ag2Pb2Se
_cell_length_a 8.692
_cell_length_b 8.692
_cell_length_c 3.367
_cell_angle_alpha 90.00
_cell_angle_beta 90.00
_cell_angle_gamma 90.00
_space_group_name_H-M_alt 'P 1'
_space_group_IT_number 1
_space_group_name_Hall 'P 1'
loop_
_atom_site_label
_atom_site_fract_x
_atom_site_fract_y
_atom_site_fract_z
Ag1 0.111 0.389 0.000
Ag2 0.389 0.889 0.000
Ag3 0.611 0.111 0.000
Ag4 0.889 0.611 0.000
Pb1 0.190 0.690 0.500
Pb2 0.310 0.190 0.500
Pb3 0.690 0.810 0.500
Pb4 0.810 0.310 0.500
Se1 0.000 0.000 0.500
Se2 0.500 0.500 0.500
```


The following is a PBE calculation of a geometry-optimized Ag2Pb3Se4 structure, from Alexandria via LeMat-Bulk.

**Space group**: No. 12
**Total magnetic moment**: 0.0 Bohr magnetons per cell
**Formation energy without anion corrections**: -364 meV per atom

Cell and atoms, written as CIF:
```
data_Ag2Pb3Se4
_cell_length_a 7.509
_cell_length_b 7.509
_cell_length_c 9.604
_cell_angle_alpha 125.38
_cell_angle_beta 125.38
_cell_angle_gamma 33.64
_space_group_name_H-M_alt 'P 1'
_space_group_IT_number 1
_space_group_name_Hall 'P 1'
loop_
_atom_site_label
_atom_site_fract_x
_atom_site_fract_y
_atom_site_fract_z
Ag1 0.183 0.183 0.377
Ag2 0.817 0.817 0.623
Pb1 0.127 0.127 0.740
Pb2 0.500 0.500 0.000
Pb3 0.873 0.873 0.260
Se1 0.184 0.184 0.090
Se2 0.430 0.430 0.621
Se3 0.570 0.570 0.379
Se4 0.816 0.816 0.910
```


Which of these has the highest formation energy without anion corrections? AgPbSe4